1.
This record from Alexandria describes crystalline LaIr at its relaxed geometry. The functional is PBE. Values from VASP.

Energy of formation from the pure elements ... -0.0832 eV per atom
DFT total energy ... -6.9774 eV/atom
Magnetization ... 0.00 μB/f.u.

Cell and atoms, written as Quantum ESPRESSO input:
```
&SYSTEM
  ibrav = 0, nat = 4, ntyp = 2
/
ATOMIC_SPECIES
La 138.91 La.upf
Ir 192.22 Ir.upf
ATOMIC_POSITIONS crystal
La 0.333 0.667 0.835
Ir 0.000 0.000 0.041
La 0.000 0.000 0.415
Ir 0.333 0.667 0.209
CELL_PARAMETERS angstrom
3.995 0.000 0.000
-1.997 3.460 0.000
0.000 0.000 8.197
```



2.
This record from Alexandria describes crystalline Cd2TcAu at its relaxed geometry. The functional is PBE. Values from VASP.

Excess energy over the best structure of this formula in the dataset ... 0.655 eV/f.u.
Energy of formation from the pure elements ... 0.3899 eV per atom
DFT total energy ... -3.4785 eV/atom
Magnetization ... 1.33 μB/f.u.

Cell and atoms, written as Quantum ESPRESSO input:
```
&SYSTEM
  ibrav = 0, nat = 4, ntyp = 3
/
ATOMIC_SPECIES
Cd 112.41 Cd.upf
Tc 98.00 Tc.upf
Au 196.97 Au.upf
ATOMIC_POSITIONS crystal
Cd 0.750 0.750 0.750
Tc 0.000 0.000 0.000
Cd 0.250 0.250 0.250
Au 0.500 0.500 0.500
CELL_PARAMETERS angstrom
0.000 3.322 3.322
3.322 0.000 3.322
3.322 3.322 0.000
```



3.
This record from Alexandria describes crystalline PtI2NCl at its relaxed geometry. The functional is PBE. Values from VASP.

Excess energy over the best structure of this formula in the dataset ... 0.000 eV/f.u.
DFT total energy ... -3.2818 eV/atom
Raw formation energy ... 0.581 eV/atom
Magnetization ... 0.00 μB/f.u.

Cell and atoms, written as Quantum ESPRESSO input:
```
&SYSTEM
  ibrav = 0, nat = 5, ntyp = 4
/
ATOMIC_SPECIES
Pt 195.08 Pt.upf
I 126.90 I.upf
N 14.01 N.upf
Cl 35.45 Cl.upf
ATOMIC_POSITIONS crystal
Pt 0.000 0.000 0.000
I 0.500 0.000 0.000
N 0.000 0.000 0.500
I 0.000 0.500 0.000
Cl 0.500 0.500 0.500
CELL_PARAMETERS angstrom
5.842 0.000 0.000
0.000 5.842 0.000
0.000 0.000 3.688
```



4.
This record from Alexandria describes crystalline NdSmTmLu at its relaxed geometry. The functional is PBE. Values from VASP.

Energy of formation from the pure elements ... 0.0940 eV per atom
DFT total energy ... -4.5259 eV/atom
Magnetization ... 0.00 μB/f.u.

Cell and atoms, written as Quantum ESPRESSO input:
```
&SYSTEM
  ibrav = 0, nat = 4, ntyp = 4
/
ATOMIC_SPECIES
Nd 144.24 Nd.upf
Tm 168.93 Tm.upf
Lu 174.97 Lu.upf
Sm 150.36 Sm.upf
ATOMIC_POSITIONS crystal
Nd 0.250 0.250 0.250
Tm 0.500 0.500 0.500
Lu 0.000 0.000 0.000
Sm 0.750 0.750 0.750
CELL_PARAMETERS angstrom
-2.310 -3.248 4.041
-2.505 -4.901 -1.386
2.432 -4.930 1.414
```



5.
This record from Alexandria describes crystalline Sm6Er8Zr at its relaxed geometry. The functional is PBE. Values from VASP.

Energy of formation from the pure elements ... 0.1277 eV per atom
DFT total energy ... -4.7633 eV/atom
Magnetization ... 0.00 μB/f.u.

Cell and atoms, written as Quantum ESPRESSO input:
```
&SYSTEM
  ibrav = 0, nat = 15, ntyp = 3
/
ATOMIC_SPECIES
Er 167.26 Er.upf
Sm 150.36 Sm.upf
Zr 91.22 Zr.upf
ATOMIC_POSITIONS crystal
Er 0.753 0.111 0.721
Er 0.889 0.279 0.247
Sm 0.779 0.893 0.457
Er 0.279 0.247 0.889
Sm 0.457 0.779 0.893
Er 0.111 0.721 0.753
Sm 0.107 0.543 0.221
Er 0.577 0.577 0.577
Zr 0.000 0.000 0.000
Er 0.721 0.753 0.111
Sm 0.221 0.107 0.543
Sm 0.893 0.457 0.779
Sm 0.543 0.221 0.107
Er 0.247 0.889 0.279
Er 0.423 0.423 0.423
CELL_PARAMETERS angstrom
-1.098 -1.708 8.319
-4.351 -7.124 1.908
4.535 -6.518 3.206
```



6.
This record from Alexandria describes crystalline HfUS4 at its relaxed geometry. The functional is PBE. Values from VASP.

Excess energy over the best structure of this formula in the dataset ... 0.076 eV/f.u.
DFT total energy ... -7.7353 eV/atom
Raw formation energy ... -1.443 eV/atom
Magnetization ... 2.00 μB/f.u.

Cell and atoms, written as Quantum ESPRESSO input:
```
&SYSTEM
  ibrav = 0, nat = 6, ntyp = 3
/
ATOMIC_SPECIES
S 32.06 S.upf
U 238.03 U.upf
Hf 178.49 Hf.upf
ATOMIC_POSITIONS crystal
S 0.500 0.782 0.180
U 0.000 0.000 0.000
S 0.500 0.218 0.820
S 0.000 0.787 0.652
Hf 0.500 0.000 0.500
S 0.000 0.213 0.348
CELL_PARAMETERS angstrom
-2.973 -2.047 1.231
1.295 -4.608 -4.538
3.916 -3.064 4.362
```